DFT (PBE) results for a relaxed structure of MnSb.

Structure (POSCAR):
```
MnSb
1.0
-6.519 3.673 -1.674
-0.953 -4.490 -6.142
-3.923 -5.014 4.274
Mn Sb
8 8
Cartesian
-7.080 -1.279 -6.482
-6.954 -3.558 -2.162
-4.650 -3.262 -2.735
-5.057 -8.049 -1.847
-9.394 -1.688 1.635
-5.306 -3.378 -0.437
-5.878 -1.461 -1.750
-1.257 -0.643 -0.391
-5.368 -5.558 -1.810
-4.635 -4.172 1.848
-9.108 -4.660 -2.831
-6.189 1.030 -1.713
-3.411 -1.745 -1.060
-7.601 -2.283 -0.017
-2.857 -3.858 -4.388
-6.409 -2.073 -4.196
```

crystal system: cubic
calculated volume: 28.2 Å³ per atom
electronic total energy: -6.265 eV/atom
space-group type: No. 217
E_form (uncorrected): 0.76 eV per formula unit



DFT (PBE) results for a relaxed structure of Cd5Te.

Structure (POSCAR):
```
Cd5Te
1.0
2.010 -6.811 0.000
2.010 6.811 0.000
0.000 0.000 5.772
Cd Te
5 1
Cartesian
2.010 6.727 0.000
2.010 2.155 0.000
2.010 -2.404 0.000
2.010 -3.745 2.886
2.010 0.886 2.886
2.010 5.463 2.886
```

crystal system: orthorhombic
ΔE to the lowest computed polymorph: 1.6 meV/atom
calculated volume: 26.3 Å³ per atom
electronic total energy: -1.267 eV/atom
space-group type: No. 38
E_form (uncorrected): 0.11 eV per formula unit



DFT (PBE) results for a relaxed structure of HgPW2.

Structure (POSCAR):
```
HgPW2
1.0
1.862 0.859 4.593
-3.307 -1.101 3.627
1.701 -2.508 -4.015
P Hg W
1 1 2
Cartesian
1.421 -0.885 2.344
-0.722 -0.121 4.110
-1.164 -1.864 1.861
0.000 0.000 0.000
```

crystal system: tetragonal
ΔE to the lowest computed polymorph: 566.8 meV/atom
energy of formation: 20.14 kcal/mol of atoms
calculated volume: 16.4 Å³ per atom
electronic total energy: -7.031 eV/atom
space-group type: No. 119



DFT (PBE) results for a relaxed structure of SmGaAgPt.

Structure (POSCAR):
```
SmGaAgPt
1.0
-1.034 -0.112 -4.720
3.026 -2.163 -3.086
-1.260 -4.167 -2.100
Sm Ga Pt Ag
1 1 1 1
Cartesian
0.366 -3.221 -4.953
0.000 0.000 0.000
0.549 -4.831 -7.429
0.183 -1.610 -2.476
```

crystal system: cubic
energy of formation: -13.00 kcal/mol of atoms
calculated volume: 20.0 Å³ per atom
electronic total energy: -4.723 eV/atom
space-group type: No. 216



DFT (PBE) results for a relaxed structure of TmReHgO6.

Structure (POSCAR):
```
TmReHgO6
1.0
5.662 0.100 -0.376
2.912 4.857 0.378
-0.330 0.570 5.227
Tm O Hg Re
1 6 1 1
Cartesian
5.565 3.598 2.614
5.009 5.288 3.998
3.310 0.681 1.383
3.599 3.404 1.658
6.752 2.273 1.232
1.912 3.100 3.845
4.415 1.991 3.570
8.070 5.427 5.228
2.581 1.873 2.614
```

crystal system: monoclinic
calculated volume: 15.5 Å³ per atom
electronic total energy: -7.030 eV/atom
space-group type: No. 5
E_form (uncorrected): -16.30 eV per formula unit



DFT (PBE) results for a relaxed structure of VGaSe2N.

Structure (POSCAR):
```
VGaSe2N
1.0
-1.920 -3.600 2.998
4.060 -2.895 -0.876
1.660 1.472 2.831
Se N V Ga
2 1 1 1
Cartesian
2.030 -1.447 -0.438
-0.960 -1.800 1.499
0.830 0.736 1.416
1.901 -2.511 2.476
0.000 0.000 0.000
```

crystal system: tetragonal
ΔE to the lowest computed polymorph: 957.2 meV/atom
calculated volume: 18.4 Å³ per atom
electronic total energy: -4.590 eV/atom
space-group type: No. 123
E_form (uncorrected): 4.49 eV per formula unit



DFT (PBE) results for a relaxed structure of NdAl3Pd3.

Structure (POSCAR):
```
NdAl3Pd3
1.0
6.793 0.000 0.000
3.397 5.883 0.000
3.397 1.961 6.545
Pd Al Nd
6 6 2
Cartesian
6.047 6.400 5.031
7.540 1.445 1.514
8.566 5.807 1.514
5.021 2.037 5.031
9.312 3.330 5.031
4.275 4.515 1.514
9.012 3.360 2.497
8.390 5.562 4.047
7.416 1.719 4.047
5.197 2.282 2.497
6.171 6.125 2.497
4.575 4.485 4.047
6.793 3.922 6.371
6.793 3.922 0.174
```

crystal system: trigonal
energy of formation: -15.60 kcal/mol of atoms
calculated volume: 18.7 Å³ per atom
electronic total energy: -5.187 eV/atom
space-group type: No. 148



DFT (PBE) results for a relaxed structure of BaRe2Mo.

Structure (POSCAR):
```
BaRe2Mo
1.0
-3.784 -1.234 2.582
-1.079 2.420 3.935
-3.828 2.801 0.088
Re Mo Ba
2 1 1
Cartesian
-6.518 2.990 4.954
-2.173 0.997 1.651
0.000 0.000 0.000
-4.346 1.994 3.302
```

crystal system: cubic
ΔE to the lowest computed polymorph: 670.7 meV/atom
energy of formation: 33.15 kcal/mol of atoms
calculated volume: 18.9 Å³ per atom
electronic total energy: -7.975 eV/atom
space-group type: No. 225



DFT (PBE) results for a relaxed structure of BaIrSeN2.

Structure (POSCAR):
```
BaIrSeN2
1.0
-0.711 -1.748 3.657
3.855 0.854 1.157
-1.629 4.724 1.941
N Ir Ba Se
2 1 1 1
Cartesian
-0.355 -0.874 1.828
1.928 0.427 0.579
0.000 0.000 0.000
0.758 1.915 3.377
-0.815 2.362 0.970
```

crystal system: tetragonal
ΔE to the lowest computed polymorph: 0.0 meV/atom
calculated volume: 18.2 Å³ per atom
electronic total energy: -5.894 eV/atom
space-group type: No. 123
E_form (uncorrected): 1.45 eV per formula unit



DFT (PBE) results for a relaxed structure of In6Ga2Sn.

Structure (POSCAR):
```
In6Ga2Sn
1.0
6.460 1.316 1.397
4.060 4.951 2.164
0.825 0.013 8.973
In Ga Sn
6 2 1
Cartesian
6.802 2.004 9.071
7.408 4.221 6.869
3.938 2.059 5.665
4.543 4.276 3.463
7.616 3.666 3.742
3.730 2.613 8.792
7.293 4.778 10.032
4.052 1.502 2.502
0.413 0.007 4.486
```

crystal system: monoclinic
ΔE to the lowest computed polymorph: 27.5 meV/atom
energy of formation: 1.62 kcal/mol of atoms
calculated volume: 26.2 Å³ per atom
electronic total energy: -2.873 eV/atom
space-group type: No. 12



DFT (PBE) results for a relaxed structure of K2CaIn2.

Structure (POSCAR):
```
K2CaIn2
1.0
-0.207 4.744 -0.268
-0.594 0.240 4.713
7.871 2.911 3.243
Ca In K
1 2 2
Cartesian
0.000 0.000 0.000
6.029 5.330 5.288
1.041 2.565 2.400
3.439 2.821 5.089
3.632 5.073 2.599
```

crystal system: tetragonal
ΔE to the lowest computed polymorph: 38.5 meV/atom
energy of formation: 0.44 kcal/mol of atoms
calculated volume: 37.7 Å³ per atom
electronic total energy: -1.915 eV/atom
space-group type: No. 139



DFT (PBE) results for a relaxed structure of DyThAsSe.

Structure (POSCAR):
```
DyThAsSe
1.0
-1.295 0.175 3.947
-3.211 -2.332 1.240
2.805 -5.779 3.367
As Th Dy Se
1 1 1 1
Cartesian
-0.374 -2.044 2.158
-4.463 -2.206 5.203
-0.895 -3.915 4.260
-1.325 -5.894 6.397
```

crystal system: trigonal
calculated volume: 25.6 Å³ per atom
electronic total energy: -6.614 eV/atom
space-group type: No. 160
E_form (uncorrected): -6.30 eV per formula unit